Below is crystalline Y4CuP at its relaxed geometry, with properties calculated at the PBE level.

Results
Its raw total energy is -5.26 eV per atom. As for the formation enthalpy at 0 K: 3.78 eV/f.u.

Structure (CIF):
```
data_Y4CuP
_chemical_formula_sum 'Y4 Cu1 P1'
_cell_length_a 6.119
_cell_length_b 6.119
_cell_length_c 6.119
_cell_angle_alpha 60.00
_cell_angle_beta 60.00
_cell_angle_gamma 60.00
_space_group_name_H-M_alt 'P 1'
_space_group_IT_number 1
loop_
_space_group_symop_operation_xyz
'x,y,z'
loop_
_atom_site_label
_atom_site_type_symbol
_atom_site_fract_x
_atom_site_fract_y
_atom_site_fract_z
_atom_site_occupancy
Y1 Y 0.876 0.375 0.375 1
Y2 Y 0.375 0.375 0.876 1
Y3 Y 0.375 0.876 0.375 1
Y4 Y 0.375 0.375 0.375 1
Cu1 Cu 0.750 0.750 0.750 1
P1 P 0.000 0.000 0.000 1
```